Density functional theory data (PBE-GGA) for a relaxed structure of MnHgAu3.

DFT formation energy   0.9284 eV per atom
Total DFT energy (no corrections)   -2.93 eV/atom

Cell lengths 5.192, 5.192, 5.192 Å; angles 90.00, 90.00, 90.00 degrees
Site moments in Bohr magnetons follow the coordinates.
Atoms (fractional coordinates):
Mn 0.500 0.500 0.500  4.56
Au 0.000 0.500 0.000  0.01
Au 0.000 0.000 0.500  0.04
Au 0.500 0.000 0.000  0.03
Hg 0.000 0.000 0.000  0.00